Here is a geometry-optimized Dy5Pb3 structure from Alexandria. Energies are from PBEsol.

Results
ΔE_f, eV per atom: -0.5848
Calculated total energy, Ha/atom: -0.191

Cell lengths 8.920, 8.920, 6.508 Å; angles 90.00, 90.00, 120.00 degrees
Positions (direct):
1 Dy 0.000 0.237 0.250
2 Dy 0.000 0.763 0.750
3 Dy 0.237 0.000 0.250
4 Dy 0.237 0.237 0.750
5 Dy 0.333 0.667 0.000
6 Dy 0.333 0.667 0.500
7 Dy 0.667 0.333 0.000
8 Dy 0.667 0.333 0.500
9 Dy 0.763 0.000 0.750
10 Dy 0.763 0.763 0.250
11 Pb 0.000 0.395 0.750
12 Pb 0.000 0.605 0.250
13 Pb 0.395 0.000 0.750
14 Pb 0.395 0.395 0.250
15 Pb 0.605 0.000 0.250
16 Pb 0.605 0.605 0.750